Entry 1:
Entry from Alexandria: a geometry-optimized MgMnTe2I structure (GGA-PBE).

Output
Fermi-level density of states ... 1.05 states/eV per atom
E ... -16.8 eV per formula unit
ρ ... 4.5 g/cm³
Formation energy from raw total energies ... 0.351 eV/atom
Total magnetization ... 4.832 μB/f.u.

a b c (Å): 5.522 5.522 5.564
angles (deg): 90.00 90.00 90.00
Sites, in units of the cell vectors:
Te1 0.000 0.500 0.000
Mg1 0.000 0.000 0.000
Mn1 0.500 0.500 0.500
I1 0.000 0.000 0.500
Te2 0.500 0.000 0.000

***

Entry 2:
Entry from Alexandria: a geometry-optimized YBe2Cu structure (GGA-PBE).

Output
Fermi-level density of states ... 0.93 states/eV per atom
E ... -17.6 eV per formula unit
ρ ... 4.2 g/cm³
Total magnetization ... 0.000 μB/f.u.
ΔE_f ... 0.10 eV per atom

a b c (Å): 4.166 4.166 8.263
angles (deg): 75.40 75.40 90.00
Sites, in units of the cell vectors:
Be1 0.375 0.125 0.250
Cu1 0.500 0.500 0.000
Be2 0.375 0.625 0.250
Cu2 0.250 0.750 0.500
Y1 0.000 0.000 0.000
Y2 0.750 0.250 0.500
Be3 0.875 0.625 0.750
Be4 0.375 0.625 0.750

***

Entry 3:
Entry from Alexandria: a geometry-optimized VZn2Re structure (GGA-PBE).

Output
Fermi-level density of states ... 0.99 states/eV per atom
E ... -22.2 eV per formula unit
ρ ... 10.0 g/cm³
Total magnetization ... 0.247 μB/f.u.
ΔE_f ... 0.47 eV per atom

a b c (Å): 3.596 3.596 9.800
angles (deg): 79.43 79.43 90.00
Sites, in units of the cell vectors:
Re1 0.750 0.250 0.500
Zn1 0.629 0.125 0.250
Zn2 0.875 0.879 0.750
Zn3 0.121 0.625 0.250
V1 0.250 0.750 0.500
V2 0.500 0.500 0.000
Re2 0.000 0.000 0.000
Zn4 0.375 0.371 0.750

***

Entry 4:
Entry from Alexandria: a geometry-optimized K6O structure (GGA-PBE).

Output
Fermi-level density of states ... 0.53 states/eV per atom
E ... -14.7 eV per formula unit
ρ ... 1.1 g/cm³
Formation energy from raw total energies ... -0.455 eV/atom
Total magnetization ... 0.000 μB/f.u.

a b c (Å): 7.670 13.265 14.772
angles (deg): 90.00 90.00 90.00
Sites, in units of the cell vectors:
K1 0.660 0.250 0.006
K2 0.160 0.750 0.494
K3 0.264 0.106 0.528
K4 0.764 0.894 0.972
O1 0.897 0.750 0.376
K5 0.942 0.392 0.723
O2 0.103 0.250 0.624
K6 0.442 0.892 0.777
K7 0.368 0.250 0.739
K8 0.442 0.608 0.777
O3 0.397 0.250 0.124
K9 0.942 0.108 0.723
K10 0.236 0.394 0.028
K11 0.736 0.606 0.472
K12 0.764 0.606 0.972
K13 0.058 0.892 0.277
K14 0.558 0.392 0.223
K15 0.340 0.750 0.994
K16 0.264 0.394 0.528
K17 0.558 0.108 0.223
K18 0.868 0.750 0.761
K19 0.236 0.106 0.028
O4 0.603 0.750 0.876
K20 0.840 0.250 0.506
K21 0.132 0.250 0.239
K22 0.736 0.894 0.472
K23 0.632 0.750 0.261
K24 0.058 0.608 0.277

***

Entry 5:
Entry from Alexandria: a geometry-optimized KInFe2 structure (GGA-PBE).

Output
Fermi-level density of states ... 1.23 states/eV per atom
E ... -17.1 eV per formula unit
ρ ... 5.5 g/cm³
Total magnetization ... 5.341 μB/f.u.
ΔE_f ... 0.92 eV per atom

a b c (Å): 10.532 10.532 10.532
angles (deg): 16.36 16.36 16.36
Sites, in units of the cell vectors:
Fe1 0.989 0.989 0.989
In1 0.250 0.250 0.250
K1 0.750 0.750 0.750
Fe2 0.511 0.511 0.511

***

Entry 6:
Entry from Alexandria: a geometry-optimized AcCe3O structure (GGA-PBE).

Output
Fermi-level density of states ... 1.81 states/eV per atom
E ... -32.0 eV per formula unit
ρ ... 8.8 g/cm³
Formation energy from raw total energies ... -1.019 eV/atom
Total magnetization ... 0.000 μB/f.u.

a b c (Å): 5.006 5.006 5.006
angles (deg): 90.00 90.00 90.00
Sites, in units of the cell vectors:
Ce1 0.000 0.000 0.500
Ce2 0.000 0.500 0.000
Ce3 0.500 0.000 0.000
Ac1 0.500 0.500 0.500
O1 0.000 0.000 0.000